DFT (PBE) results for a relaxed structure of Ac3CuSn2Pd9.

a = 5.9026 Å, b = 5.9026 Å, c = 11.9454 Å
α = 90.00°, β = 90.00°, γ = 120.00°
With the nearest neighbours (Å) after each atom.
Fractional coordinates of all 15 atoms:
Ac1 0.3333 0.6667 0.5953  6 Pd 3.06
Ac2 0.0000 0.0000 0.0000  6 Pd 2.95
Ac3 0.6667 0.3333 0.4047  6 Pd 3.06
Cu1 0.0000 0.0000 0.5000  6 Pd 2.55
Sn1 0.3333 0.6667 0.1727  6 Pd 2.64-2.68
Sn2 0.6667 0.3333 0.8273  6 Pd 2.64-2.68
Pd1 0.8379 0.1621 0.6622  1 Cu 2.55, 1 Sn 2.64
Pd2 0.8379 0.6757 0.6622  1 Cu 2.55, 1 Sn 2.64
Pd3 0.3243 0.1621 0.6622  1 Cu 2.55, 1 Sn 2.64
Pd4 0.6757 0.8379 0.3378  1 Cu 2.55, 1 Sn 2.64
Pd5 0.1621 0.3243 0.3378  1 Cu 2.55, 1 Sn 2.64
Pd6 0.1621 0.8379 0.3378  1 Cu 2.55, 1 Sn 2.64
Pd7 0.5000 0.0000 0.0000  2 Sn 2.68, 2 Ac 2.95, 4 Pd 2.95
Pd8 0.0000 0.5000 0.0000  2 Sn 2.68, 4 Pd 2.95, 2 Ac 2.95
Pd9 0.5000 0.5000 0.0000  2 Sn 2.68, 4 Pd 2.95, 2 Ac 2.95

* calculated volume: 24.0 Å³ per atom
* total energy: -5.2857 eV per atom
* formation enthalpy at 0 K: -0.542 eV per atom
* space group: No. 164
* ρ: 8.9 g cm⁻³
* magnetic moment: 0.0 μB per formula unit

=====

DFT (PBE) results for a relaxed structure of IrRu2Pb.

a = 3.8521 Å, b = 4.1116 Å, c = 4.1116 Å
α = 90.00°, β = 90.00°, γ = 90.00°
With the nearest neighbours (Å) after each atom.
Fractional coordinates of all 4 atoms:
Ir1 0.5000 0.5000 0.0000  8 Ru 2.82, 4 Pb 2.91
Pb1 0.5000 0.0000 0.5000  8 Ru 2.82, 4 Ir 2.91
Ru1 0.0000 0.0000 0.0000  4 Pb 2.82, 4 Ir 2.82, 4 Ru 2.91
Ru2 0.0000 0.5000 0.5000  4 Ir 2.82, 4 Pb 2.82, 4 Ru 2.91

* calculated volume: 16.3 Å³ per atom
* total energy: -7.2137 eV per atom
* formation enthalpy at 0 K: 0.567 eV per atom
* space group: No. 123
* ρ: 15.3 g cm⁻³
* magnetic moment: 0.0 μB per formula unit